1:
! Cs2HfHgCl6 (GGA-PBE, relaxed); values from VASP
! Magnetization: 0.00 μB per cell
! Fermi-level density of states: 0.000 states/eV/f.u.
! V: 46.56 Å³ per atom
! Crystal system: trigonal
! Symmetry: No. 166
&SYSTEM
  ibrav = 0, nat = 20, ntyp = 4
/
ATOMIC_SPECIES
Hg 200.59 Hg.upf
Cs 132.91 Cs.upf
Cl 35.45 Cl.upf
Hf 178.49 Hf.upf
CELL_PARAMETERS angstrom
7.461 0.000 0.000
3.730 6.461 0.000
3.730 2.154 19.315
ATOMIC_POSITIONS crystal
Hg 0.585 0.585 0.245
Cs 0.309 0.309 0.074
Cl 0.819 0.819 0.073
Cl 0.837 0.368 0.427
Cs 0.691 0.691 0.926
Hf 0.000 0.000 0.000
Hg 0.415 0.415 0.755
Cl 0.181 0.181 0.927
Cl 0.632 0.632 0.573
Cl 0.163 0.632 0.573
Hf 0.500 0.500 0.500
Cs 0.142 0.142 0.574
Cl 0.288 0.819 0.073
Cl 0.712 0.181 0.927
Cl 0.368 0.837 0.427
Cl 0.819 0.288 0.073
Cl 0.632 0.163 0.573
Cs 0.858 0.858 0.426
Cl 0.368 0.368 0.427
Cl 0.181 0.712 0.927

2:
! Cs2HfHgCl6 (GGA-PBE, relaxed); values from VASP
! Magnetization: 0.00 μB per cell
! Fermi-level density of states: 0.000 states/eV/f.u.
! V: 39.42 Å³ per atom
! Crystal system: cubic
! Symmetry: No. 225
&SYSTEM
  ibrav = 0, nat = 10, ntyp = 4
/
ATOMIC_SPECIES
Cl 35.45 Cl.upf
Hf 178.49 Hf.upf
Cs 132.91 Cs.upf
Hg 200.59 Hg.upf
CELL_PARAMETERS angstrom
8.229 0.000 0.000
0.000 8.229 0.000
4.114 4.114 5.821
ATOMIC_POSITIONS crystal
Cl 0.289 0.289 0.423
Hf 0.500 0.500 0.000
Cl 0.711 0.711 0.577
Cs 0.250 0.750 0.500
Cl 0.711 0.711 0.000
Cl 0.711 0.289 0.000
Cl 0.289 0.711 0.000
Cl 0.289 0.289 0.000
Cs 0.750 0.250 0.500
Hg 0.000 0.000 0.000

The winner here is 1, beating the second structure by 34 meV/atom.

1:
! Cs2KHfCl6 (GGA-PBE, relaxed); values from VASP
! Magnetization: 2.02 μB per cell
! Fermi-level density of states: 4.804 states/eV/f.u.
! V: 36.27 Å³ per atom
! Crystal system: trigonal
! Symmetry: No. 166
&SYSTEM
  ibrav = 0, nat = 20, ntyp = 4
/
ATOMIC_SPECIES
Cl 35.45 Cl.upf
K 39.10 K.upf
Cs 132.91 Cs.upf
Hf 178.49 Hf.upf
CELL_PARAMETERS angstrom
-0.811 2.922 -7.010
2.765 -3.759 -6.047
-11.857 -7.181 -5.782
ATOMIC_POSITIONS crystal
Cl 0.190 0.722 0.898
Cl 0.375 0.850 0.400
Cl 0.278 0.810 0.102
K 0.413 0.413 0.760
Cl 0.625 0.150 0.600
Cs 0.136 0.136 0.592
K 0.587 0.587 0.240
Cl 0.810 0.278 0.102
Cl 0.190 0.190 0.898
Cl 0.375 0.375 0.400
Cs 0.864 0.864 0.408
Cl 0.625 0.625 0.600
Hf 0.500 0.500 0.500
Cl 0.810 0.810 0.102
Cl 0.850 0.375 0.400
Hf 0.000 0.000 0.000
Cl 0.722 0.190 0.898
Cl 0.150 0.625 0.600
Cs 0.697 0.697 0.909
Cs 0.303 0.303 0.091

2:
! Cs2KHfCl6 (GGA-PBE, relaxed); values from VASP
! Magnetization: 1.00 μB per cell
! Fermi-level density of states: 9.860 states/eV/f.u.
! V: 34.12 Å³ per atom
! Crystal system: cubic
! Symmetry: No. 225
&SYSTEM
  ibrav = 0, nat = 10, ntyp = 4
/
ATOMIC_SPECIES
Cl 35.45 Cl.upf
Cs 132.91 Cs.upf
K 39.10 K.upf
Hf 178.49 Hf.upf
CELL_PARAMETERS angstrom
-6.027 -3.170 3.892
-2.436 -3.471 -6.598
-1.128 -7.760 -0.163
ATOMIC_POSITIONS crystal
Cl 0.773 0.773 0.455
Cs 0.250 0.750 0.500
Cl 0.227 0.227 0.545
K 0.500 0.500 0.000
Cl 0.227 0.773 0.000
Cl 0.773 0.773 0.000
Cs 0.750 0.250 0.500
Cl 0.773 0.227 0.000
Hf 0.000 0.000 0.000
Cl 0.227 0.227 0.000

The winner here is 2, beating the second structure by 8 meV/atom.

1:
! CsHgCl (GGA-PBE, relaxed); values from VASP
! Magnetization: 0.00 μB per cell
! V: 44.51 Å³ per atom
! Crystal system: triclinic
! Symmetry: No. 1
&SYSTEM
  ibrav = 0, nat = 6, ntyp = 3
/
ATOMIC_SPECIES
Hg 200.59 Hg.upf
Cl 35.45 Cl.upf
Cs 132.91 Cs.upf
CELL_PARAMETERS angstrom
-4.862 0.692 0.181
-0.620 -3.482 -3.422
-2.300 -7.470 7.945
ATOMIC_POSITIONS crystal
Hg 0.963 0.304 0.454
Cl 0.916 0.307 0.144
Hg 0.475 0.804 0.527
Cs 0.414 0.807 0.153
Cs 0.017 0.310 0.829
Cl 0.515 0.810 0.838

2:
! CsHgCl (GGA-PBE, relaxed); values from VASP
! Magnetization: 0.00 μB per cell
! Fermi-level density of states: 0.000 states/eV/f.u.
! V: 48.74 Å³ per atom
! Crystal system: trigonal
! Symmetry: No. 156
&SYSTEM
  ibrav = 0, nat = 3, ntyp = 3
/
ATOMIC_SPECIES
Cs 132.91 Cs.upf
Hg 200.59 Hg.upf
Cl 35.45 Cl.upf
CELL_PARAMETERS angstrom
5.889 0.000 0.000
0.000 5.355 0.000
0.000 -2.677 4.637
ATOMIC_POSITIONS crystal
Cs 0.078 0.000 0.000
Hg 0.624 0.333 0.667
Cl 0.298 0.667 0.333

3:
! CsHgCl (GGA-PBE, relaxed); values from VASP
! Magnetization: 0.00 μB per cell
! Fermi-level density of states: 0.000 states/eV/f.u.
! V: 39.23 Å³ per atom
! Crystal system: hexagonal
! Symmetry: No. 194
&SYSTEM
  ibrav = 0, nat = 6, ntyp = 3
/
ATOMIC_SPECIES
Cl 35.45 Cl.upf
Cs 132.91 Cs.upf
Hg 200.59 Hg.upf
CELL_PARAMETERS angstrom
6.233 0.000 0.000
-3.116 5.398 0.000
0.000 0.000 6.997
ATOMIC_POSITIONS crystal
Cl 0.333 0.667 0.750
Cs 0.667 0.333 0.750
Cs 0.333 0.667 0.250
Hg 0.000 0.000 0.500
Cl 0.667 0.333 0.250
Hg 0.000 0.000 0.000

4:
! CsHgCl (GGA-PBE, relaxed); values from VASP
! Magnetization: 0.00 μB per cell
! Fermi-level density of states: 0.000 states/eV/f.u.
! V: 59.34 Å³ per atom
! Crystal system: tetragonal
! Symmetry: No. 107
&SYSTEM
  ibrav = 0, nat = 3, ntyp = 3
/
ATOMIC_SPECIES
Hg 200.59 Hg.upf
Cl 35.45 Cl.upf
Cs 132.91 Cs.upf
CELL_PARAMETERS angstrom
4.812 0.000 0.000
0.000 4.812 0.000
-2.406 -2.406 7.687
ATOMIC_POSITIONS crystal
Hg 0.016 0.016 0.033
Cl 0.231 0.231 0.462
Cs 0.753 0.753 0.505

The winner here is 1, beating the second structure by 23 meV/atom.

1:
! CsHgCl (GGA-PBE, relaxed); values from VASP
! Magnetization: 0.00 μB per cell
! V: 41.76 Å³ per atom
! Crystal system: monoclinic
! Symmetry: No. 6
&SYSTEM
  ibrav = 0, nat = 6, ntyp = 3
/
ATOMIC_SPECIES
Cs 132.91 Cs.upf
Cl 35.45 Cl.upf
Hg 200.59 Hg.upf
CELL_PARAMETERS angstrom
4.841 0.000 0.000
0.000 4.484 0.000
-1.169 0.000 11.542
ATOMIC_POSITIONS crystal
Cs 0.129 0.500 0.871
Cl 0.606 0.000 0.785
Cl 0.191 0.000 0.130
Hg 0.129 0.000 0.487
Cs 0.713 0.500 0.222
Hg 0.630 0.500 0.560

2:
! CsHgCl (GGA-PBE, relaxed); values from VASP
! Magnetization: 0.00 μB per cell
! V: 44.72 Å³ per atom
! Crystal system: triclinic
! Symmetry: No. 1
&SYSTEM
  ibrav = 0, nat = 6, ntyp = 3
/
ATOMIC_SPECIES
Cl 35.45 Cl.upf
Cs 132.91 Cs.upf
Hg 200.59 Hg.upf
CELL_PARAMETERS angstrom
-1.837 -3.557 2.844
3.117 1.256 3.585
-7.533 7.182 3.915
ATOMIC_POSITIONS crystal
Cl 0.269 0.854 0.160
Cs 0.265 0.849 0.847
Hg 0.311 0.849 0.472
Hg 0.810 0.348 0.547
Cs 0.770 0.354 0.171
Cl 0.765 0.349 0.858

3:
! CsHgCl (GGA-PBE, relaxed); values from VASP
! Magnetization: 0.00 μB per cell
! Fermi-level density of states: 0.000 states/eV/f.u.
! V: 46.07 Å³ per atom
! Crystal system: cubic
! Symmetry: No. 216
&SYSTEM
  ibrav = 0, nat = 3, ntyp = 3
/
ATOMIC_SPECIES
Cs 132.91 Cs.upf
Cl 35.45 Cl.upf
Hg 200.59 Hg.upf
CELL_PARAMETERS angstrom
-2.144 4.145 3.450
-3.699 -1.388 4.251
1.694 0.326 5.541
ATOMIC_POSITIONS crystal
Cs 0.500 0.500 0.500
Cl 0.250 0.250 0.250
Hg 0.000 0.000 0.000

The winner here is 2, beating the second structure by 34 meV/atom.

1:
! Cs2HgCl4 (GGA-PBE, relaxed); values from VASP
! Magnetization: 0.00 μB per cell
! Fermi-level density of states: 0.000 states/eV/f.u.
! V: 38.85 Å³ per atom
! Crystal system: monoclinic
! Symmetry: No. 14
&SYSTEM
  ibrav = 0, nat = 56, ntyp = 3
/
ATOMIC_SPECIES
Cs 132.91 Cs.upf
Hg 200.59 Hg.upf
Cl 35.45 Cl.upf
CELL_PARAMETERS angstrom
7.907 0.000 0.000
0.000 9.857 -0.067
0.000 -0.386 27.918
ATOMIC_POSITIONS crystal
Cs 0.762 0.878 0.945
Hg 0.226 0.715 0.042
Cl 0.686 0.167 0.035
Cl 0.314 0.833 0.965
Hg 0.774 0.285 0.958
Cl 0.968 0.714 0.333
Cl 0.096 0.803 0.613
Cl 0.064 0.184 0.940
Cs 0.227 0.628 0.216
Hg 0.274 0.715 0.542
Cl 0.596 0.197 0.887
Cl 0.748 0.664 0.707
Hg 0.283 0.203 0.713
Cl 0.404 0.803 0.113
Cl 0.532 0.714 0.833
Cl 0.233 0.465 0.536
Cl 0.892 0.029 0.773
Cs 0.306 0.488 0.910
Cl 0.473 0.682 0.333
Cs 0.773 0.372 0.784
Cs 0.238 0.122 0.055
Cl 0.436 0.184 0.440
Cl 0.752 0.664 0.207
Cs 0.243 0.997 0.348
Hg 0.217 0.203 0.213
Cl 0.392 0.971 0.727
Hg 0.783 0.797 0.787
Cl 0.248 0.336 0.793
Cl 0.814 0.167 0.535
Cl 0.733 0.535 0.964
Cs 0.738 0.878 0.445
Cs 0.257 0.997 0.848
Cl 0.027 0.682 0.833
Cl 0.608 0.029 0.273
Cs 0.694 0.512 0.090
Cl 0.904 0.197 0.387
Cs 0.273 0.628 0.716
Cl 0.267 0.465 0.036
Cs 0.262 0.122 0.555
Hg 0.726 0.285 0.458
Cl 0.973 0.318 0.167
Cs 0.806 0.512 0.590
Cl 0.936 0.816 0.060
Cl 0.252 0.336 0.293
Cl 0.186 0.833 0.465
Cl 0.032 0.286 0.667
Cl 0.564 0.816 0.560
Cl 0.108 0.971 0.227
Hg 0.717 0.797 0.287
Cs 0.757 0.003 0.652
Cs 0.727 0.372 0.284
Cs 0.743 0.003 0.152
Cl 0.468 0.286 0.167
Cl 0.527 0.318 0.667
Cs 0.194 0.488 0.410
Cl 0.767 0.535 0.464

2:
! Cs2HgCl4 (GGA-PBE, relaxed); values from VASP
! Magnetization: 0.00 μB per cell
! Fermi-level density of states: 0.000 states/eV/f.u.
! V: 36.63 Å³ per atom
! Crystal system: tetragonal
! Symmetry: No. 139
&SYSTEM
  ibrav = 0, nat = 7, ntyp = 3
/
ATOMIC_SPECIES
Cs 132.91 Cs.upf
Cl 35.45 Cl.upf
Hg 200.59 Hg.upf
CELL_PARAMETERS angstrom
-0.827 -5.295 -1.263
2.690 -1.508 4.562
-6.338 -3.296 5.970
ATOMIC_POSITIONS crystal
Cs 0.638 0.638 0.725
Cl 0.155 0.155 0.690
Cs 0.362 0.362 0.275
Hg 0.000 0.000 0.000
Cl 0.000 0.500 0.000
Cl 0.845 0.845 0.310
Cl 0.500 0.000 0.000

The winner here is 1, beating the second structure by 14 meV/atom.

1:
! CsHgICl2 (GGA-PBE, relaxed); values from VASP
! Magnetization: 0.00 μB per cell
! Fermi-level density of states: 0.392 states/eV/f.u.
! V: 35.95 Å³ per atom
! Crystal system: tetragonal
! Symmetry: No. 123
&SYSTEM
  ibrav = 0, nat = 5, ntyp = 4
/
ATOMIC_SPECIES
Cs 132.91 Cs.upf
Cl 35.45 Cl.upf
I 126.90 I.upf
Hg 200.59 Hg.upf
CELL_PARAMETERS angstrom
-0.338 -5.468 0.736
5.516 -0.343 -0.017
0.066 0.781 5.832
ATOMIC_POSITIONS crystal
Cs 0.500 0.500 0.500
Cl 0.500 0.000 0.000
I 0.000 0.000 0.500
Cl 0.000 0.500 0.000
Hg 0.000 0.000 0.000

2:
! CsHgICl2 (GGA-PBE, relaxed); values from VASP
! Magnetization: 0.00 μB per cell
! Fermi-level density of states: 0.000 states/eV/f.u.
! V: 44.83 Å³ per atom
! Crystal system: monoclinic
! Symmetry: No. 11
&SYSTEM
  ibrav = 0, nat = 10, ntyp = 4
/
ATOMIC_SPECIES
I 126.90 I.upf
Cl 35.45 Cl.upf
Hg 200.59 Hg.upf
Cs 132.91 Cs.upf
CELL_PARAMETERS angstrom
6.426 0.000 0.000
0.000 8.294 -0.864
0.000 -1.225 8.538
ATOMIC_POSITIONS crystal
I 0.750 0.437 0.249
Cl 0.250 0.073 0.126
Cl 0.250 0.083 0.654
Cl 0.750 0.917 0.346
I 0.250 0.563 0.751
Hg 0.750 0.103 0.155
Hg 0.250 0.897 0.845
Cl 0.750 0.927 0.874
Cs 0.250 0.741 0.315
Cs 0.750 0.259 0.685

The winner here is 2, beating the second structure by 73 meV/atom.